A relaxed structure of LaPrSmLu. Source: Alexandria via LeMat-Bulk, functional GGA-PBE.

Lattice parameters (Å, degrees): 5.792 5.792 5.792 60.00 60.00 60.00
Atoms (fractional coordinates):
Pr (0.750, 0.750, 0.750)
Sm (0.500, 0.500, 0.500)
Lu (0.000, 0.000, 0.000)
La (0.250, 0.250, 0.250)

Properties
* ΔH_f (0 K): 101 meV per atom
* uncorrected energy: -18.54 eV/cell

=====

A relaxed structure of IrPtS. Source: Alexandria via LeMat-Bulk, functional GGA-PBE.

Lattice parameters (Å, degrees): 6.282 3.425 11.430 90.00 121.93 90.00
Atoms (fractional coordinates):
Ir (0.301, 0.500, 0.454)
S (0.093, 0.000, 0.303)
Ir (0.798, 0.500, 0.866)
S (0.630, 0.500, 0.427)
Pt (0.460, 0.500, 0.173)
Ir (0.798, 0.000, 0.366)
Pt (0.460, 0.000, 0.673)
S (0.093, 0.500, 0.803)
Ir (0.301, 0.000, 0.954)
Pt (0.067, 0.000, 0.094)
Pt (0.067, 0.500, 0.594)
S (0.630, 0.000, 0.927)

Properties
* offset from the most stable computed form: 59.2 meV per atom
* uncorrected energy: -75.70 eV/cell
* ΔE_f (raw): 0.035 eV/atom

=====

A relaxed structure of Mg2Ag. Source: Alexandria via LeMat-Bulk, functional GGA-PBE.

Lattice parameters (Å, degrees): 5.614 5.614 5.614 60.00 60.00 60.00
Atoms (fractional coordinates):
Ag (0.750, 0.750, 0.750)
Mg (0.625, 0.125, 0.125)
Ag (0.500, 0.500, 0.500)
Mg (0.125, 0.125, 0.625)
Mg (0.125, 0.125, 0.125)
Mg (0.125, 0.625, 0.125)

Properties
* ΔH_f (0 K): 131 meV per atom
* uncorrected energy: -11.30 eV/cell

=====

A relaxed structure of K2CoSe. Source: Alexandria via LeMat-Bulk, functional GGA-PBE.

Lattice parameters (Å, degrees): 5.826 5.826 4.838 65.44 65.44 49.07
Atoms (fractional coordinates):
K (0.500, 0.500, 0.500)
Se (0.750, 0.750, 0.750)
Co (0.250, 0.250, 0.250)
K (0.000, 0.000, 0.000)

Properties
* uncorrected energy: -11.83 eV/cell
* ΔE_f (raw): 0.238 eV/atom

=====

A relaxed structure of GePd3W. Source: Alexandria via LeMat-Bulk, functional GGA-PBE.

Lattice parameters (Å, degrees): 4.573 4.573 4.573 90.00 90.00 90.00
Atoms (fractional coordinates):
Pd (0.000, 0.000, 0.500)
Pd (0.000, 0.500, 0.000)
Pd (0.500, 0.000, 0.000)
Ge (0.000, 0.000, 0.000)
W (0.500, 0.500, 0.500)

Properties
* offset from the most stable computed form: 0.0 meV per atom
* ΔH_f (0 K): 937 meV per atom
* uncorrected energy: -28.47 eV/cell

=====

A relaxed structure of Sm3Cd2Ir. Source: Alexandria via LeMat-Bulk, functional GGA-PBE.

Lattice parameters (Å, degrees): 5.137 8.184 7.664 90.00 90.01 71.71
Atoms (fractional coordinates):
Cd (0.665, 0.669, 0.500)
Sm (0.825, 0.351, 0.780)
Cd (0.335, 0.331, 0.500)
Sm (0.175, 0.649, 0.220)
Sm (0.824, 0.351, 0.220)
Sm (0.500, 0.000, 0.765)
Cd (0.000, 0.000, 0.000)
Cd (0.000, 0.000, 0.500)
Sm (0.176, 0.649, 0.780)
Ir (0.349, 0.302, 0.000)
Ir (0.651, 0.698, 0.000)
Sm (0.500, 0.000, 0.235)

Properties
* ΔH_f (0 K): -460 meV per atom
* uncorrected energy: -55.22 eV/cell

=====

A relaxed structure of BaSn2BBr. Source: Alexandria via LeMat-Bulk, functional GGA-PBE.

Lattice parameters (Å, degrees): 5.597 6.085 5.597 90.00 90.00 90.00
Atoms (fractional coordinates):
Sn (0.500, 0.000, 0.000)
Br (0.000, 0.000, 0.000)
Sn (0.000, 0.000, 0.500)
B (0.500, 0.500, 0.500)
Ba (0.000, 0.500, 0.000)

Properties
* uncorrected energy: -13.71 eV/cell
* ΔE_f (raw): 0.914 eV/atom

=====

A relaxed structure of VZn2Pt9. Source: Alexandria via LeMat-Bulk, functional GGA-PBE.

Lattice parameters (Å, degrees): 3.925 3.925 11.750 90.00 90.00 90.00
Atoms (fractional coordinates):
Pt (0.500, 0.500, 0.331)
Pt (0.500, 0.000, 0.500)
Pt (0.000, 0.500, 0.162)
Pt (0.500, 0.000, 0.162)
Zn (0.000, 0.000, 0.336)
Pt (0.000, 0.500, 0.838)
Zn (0.000, 0.000, 0.664)
V (0.000, 0.000, 0.000)
Pt (0.500, 0.500, 0.000)
Pt (0.500, 0.000, 0.838)
Pt (0.500, 0.500, 0.669)
Pt (0.000, 0.500, 0.500)

Properties
* ΔH_f (0 K): -419 meV per atom
* uncorrected energy: -71.06 eV/cell

=====

Copy entry 1 word for word.
A relaxed structure of LaPrSmLu. Source: Alexandria via LeMat-Bulk, functional GGA-PBE.

Lattice parameters (Å, degrees): 5.792 5.792 5.792 60.00 60.00 60.00
Atoms (fractional coordinates):
Pr (0.750, 0.750, 0.750)
Sm (0.500, 0.500, 0.500)
Lu (0.000, 0.000, 0.000)
La (0.250, 0.250, 0.250)

Properties
* ΔH_f (0 K): 101 meV per atom
* uncorrected energy: -18.54 eV/cell